A plane-wave DFT calculation with GGA-PBE was carried out for Ac2TiNbN5 after structural relaxation.

Cell lengths 3.431, 7.613, 10.775 Å; angles 90.00, 90.00, 103.02 degrees
Fractional coordinates of all 18 atoms:
Nb 0.216 0.432 0.020
Nb 0.784 0.568 0.520
N 0.343 0.687 0.000
N 0.501 0.002 0.295
N 0.682 0.363 0.887
N 0.657 0.313 0.500
N 0.318 0.637 0.387
N 0.712 0.425 0.141
N 0.499 0.998 0.795
N 0.045 0.089 0.036
N 0.288 0.575 0.641
N 0.955 0.911 0.536
Ti 0.556 0.111 0.952
Ti 0.444 0.889 0.452
Ac 0.890 0.781 0.185
Ac 0.871 0.742 0.808
Ac 0.129 0.258 0.308
Ac 0.110 0.219 0.685

Properties
**Crystal system**: orthorhombic

***

A plane-wave DFT calculation with GGA-PBE was carried out for AcTm2NbN4 after structural relaxation.

Cell lengths 3.461, 6.316, 12.051 Å; angles 90.00, 90.00, 105.90 degrees
Fractional coordinates of all 16 atoms:
Tm 0.371 0.743 0.537
Tm 0.629 0.257 0.463
Tm 0.629 0.257 0.037
Tm 0.371 0.743 0.963
N 0.430 0.860 0.750
N 0.260 0.519 0.113
N 0.570 0.140 0.250
N 0.260 0.519 0.387
N 0.740 0.481 0.887
N 0.740 0.481 0.613
N 0.000 0.000 0.500
N 0.000 0.000 0.000
Nb 0.828 0.656 0.750
Nb 0.172 0.344 0.250
Ac 0.090 0.179 0.750
Ac 0.910 0.821 0.250

Properties
**N(E_F)**: 5.41 states/eV per cell
**Crystal system**: orthorhombic

***

A plane-wave DFT calculation with GGA-PBE was carried out for Ac2UNbN6 after structural relaxation.

Cell lengths 6.013, 6.056, 8.404 Å; angles 90.00, 90.00, 90.00 degrees
Fractional coordinates of all 20 atoms:
N 0.247 0.007 0.500
N 0.251 0.511 0.500
N 0.749 0.511 0.500
N 0.000 0.779 0.256
N 0.753 0.007 0.500
N 0.500 0.221 0.244
N 0.751 0.489 0.000
N 0.249 0.489 0.000
N 0.747 0.993 0.000
N 0.000 0.779 0.744
N 0.500 0.221 0.756
N 0.253 0.993 0.000
Nb 0.500 0.272 0.000
Nb 0.000 0.728 0.500
Ac 0.500 0.773 0.750
Ac 0.000 0.227 0.750
Ac 0.500 0.773 0.250
Ac 0.000 0.227 0.250
U 0.500 0.249 0.500
U 0.000 0.751 0.000

Properties
**N(E_F)**: 12.88 states/eV per cell
**Crystal system**: orthorhombic

***

A plane-wave DFT calculation with GGA-PBE was carried out for Ac2NbWN6 after structural relaxation.

Cell lengths 5.821, 5.821, 5.821 Å; angles 60.00, 60.00, 60.00 degrees
Fractional coordinates of all 10 atoms:
Ac 0.750 0.750 0.750
Ac 0.250 0.250 0.250
W 0.000 0.000 0.000
N 0.246 0.754 0.754
N 0.754 0.246 0.754
N 0.246 0.246 0.754
N 0.754 0.246 0.246
N 0.246 0.754 0.246
N 0.754 0.754 0.246
Nb 0.500 0.500 0.500

Properties
**N(E_F)**: 5.59 states/eV per cell
**Crystal system**: cubic

***

A plane-wave DFT calculation with GGA-PBE was carried out for Ac2NbWN5 after structural relaxation.

Cell lengths 3.537, 7.554, 10.679 Å; angles 90.00, 90.00, 103.54 degrees
Fractional coordinates of all 18 atoms:
N 0.320 0.640 0.382
N 0.654 0.308 0.507
N 0.294 0.589 0.644
N 0.680 0.360 0.882
N 0.501 0.002 0.301
N 0.499 0.998 0.801
N 0.706 0.411 0.144
N 0.951 0.902 0.535
N 0.346 0.692 0.007
N 0.049 0.098 0.035
Ac 0.138 0.277 0.305
Ac 0.862 0.723 0.805
Ac 0.880 0.761 0.180
Ac 0.120 0.239 0.680
Nb 0.787 0.574 0.515
Nb 0.213 0.426 0.015
W 0.445 0.889 0.456
W 0.555 0.111 0.956

Properties
**N(E_F)**: 8.65 states/eV per cell
**Crystal system**: orthorhombic

***

A plane-wave DFT calculation with GGA-PBE was carried out for AcYNbN3 after structural relaxation.

Cell lengths 3.541, 7.732, 8.175 Å; angles 96.36, 90.00, 90.00 degrees
Fractional coordinates of all 12 atoms:
N 0.750 0.406 0.130
N 0.750 0.166 0.466
N 0.250 0.594 0.870
N 0.250 0.145 0.834
N 0.750 0.855 0.166
N 0.250 0.834 0.534
Nb 0.250 0.116 0.587
Nb 0.750 0.884 0.413
Ac 0.250 0.171 0.178
Ac 0.750 0.829 0.822
Y 0.250 0.622 0.145
Y 0.750 0.378 0.855

Properties
**N(E_F)**: 5.14 states/eV per cell
**Crystal system**: monoclinic

***

A plane-wave DFT calculation with GGA-PBE was carried out for AcZr2NbN4 after structural relaxation.

Cell lengths 3.391, 6.205, 11.588 Å; angles 90.00, 90.00, 105.86 degrees
Fractional coordinates of all 16 atoms:
Zr 0.371 0.742 0.962
Zr 0.629 0.258 0.038
Zr 0.371 0.742 0.538
Zr 0.629 0.258 0.462
N 0.000 0.000 0.500
N 0.440 0.880 0.750
N 0.263 0.526 0.110
N 0.263 0.526 0.390
N 0.560 0.120 0.250
N 0.000 0.000 0.000
N 0.737 0.474 0.610
N 0.737 0.474 0.890
Nb 0.837 0.675 0.750
Nb 0.163 0.325 0.250
Ac 0.100 0.201 0.750
Ac 0.900 0.799 0.250

Properties
**N(E_F)**: 5.58 states/eV per cell
**Crystal system**: orthorhombic

***

A plane-wave DFT calculation with GGA-PBE was carried out for AcNdN2 after structural relaxation.

Cell lengths 3.695, 3.695, 6.808 Å; angles 74.25, 74.25, 60.00 degrees
Fractional coordinates of all 4 atoms:
N 0.240 0.240 0.279
N 0.080 0.080 0.760
Ac 0.675 0.675 0.976
Nd 0.505 0.505 0.485

Properties
**Crystal system**: trigonal

***

A plane-wave DFT calculation with GGA-PBE was carried out for Ac3NdN4 after structural relaxation.

Cell lengths 3.848, 6.673, 6.673 Å; angles 109.47, 90.00, 90.00 degrees
Fractional coordinates of all 8 atoms:
Ac 0.000 0.500 0.000
Ac 0.500 0.500 0.500
Ac 0.000 0.000 0.500
N 0.000 0.243 0.243
N 0.500 0.756 0.244
N 0.500 0.244 0.756
N 0.000 0.757 0.757
Nd 0.500 0.000 0.000

Properties
**N(E_F)**: 1.50 states/eV per cell
**Crystal system**: orthorhombic

***

A plane-wave DFT calculation with GGA-PBE was carried out for AcNd3N3 after structural relaxation.

Cell lengths 6.455, 6.455, 10.238 Å; angles 71.62, 71.62, 60.00 degrees
Fractional coordinates of all 14 atoms:
Ac 0.667 0.667 0.000
Ac 0.333 0.333 0.000
N 0.065 0.701 0.805
N 0.299 0.571 0.195
N 0.701 0.429 0.805
N 0.935 0.299 0.195
N 0.571 0.935 0.195
N 0.429 0.065 0.805
Nd 0.785 0.102 0.693
Nd 0.215 0.898 0.307
Nd 0.898 0.580 0.307
Nd 0.102 0.420 0.693
Nd 0.580 0.215 0.307
Nd 0.420 0.785 0.693

Properties
**N(E_F)**: 8.08 states/eV per cell
**Crystal system**: trigonal

***

A plane-wave DFT calculation with GGA-PBE was carried out for AcNd2N3 after structural relaxation.

Cell lengths 6.481, 6.481, 11.841 Å; angles 100.55, 100.55, 109.31 degrees
Fractional coordinates of all 24 atoms:
Ac 0.334 0.834 0.668
Ac 0.916 0.916 0.832
Ac 0.084 0.084 0.168
Ac 0.166 0.666 0.332
N 0.670 0.180 0.838
N 0.341 0.832 0.162
N 0.430 0.420 0.338
N 0.580 0.570 0.662
N 0.168 0.659 0.838
N 0.820 0.330 0.162
N 0.261 0.261 0.000
N 0.989 0.489 0.500
N 0.511 0.011 0.500
N 0.739 0.739 0.000
N 0.909 0.918 0.338
N 0.082 0.091 0.662
Nd 0.748 0.748 0.495
Nd 0.998 0.498 0.995
Nd 0.419 0.419 0.837
Nd 0.581 0.581 0.163
Nd 0.502 0.002 0.005
Nd 0.831 0.331 0.663
Nd 0.252 0.252 0.505
Nd 0.669 0.169 0.337

Properties
**N(E_F)**: 4.03 states/eV per cell
**Crystal system**: orthorhombic

***

A plane-wave DFT calculation with GGA-PBE was carried out for AcNd5N6 after structural relaxation.

Cell lengths 6.401, 6.409, 6.410 Å; angles 60.01, 80.42, 70.56 degrees
Fractional coordinates of all 12 atoms:
N 0.252 0.259 0.000
N 0.255 0.915 0.657
N 0.748 0.741 0.000
N 0.745 0.428 0.657
N 0.255 0.572 0.343
N 0.745 0.085 0.343
Nd 0.500 0.169 0.661
Nd 0.000 0.666 0.668
Nd 0.500 0.831 0.339
Nd 0.000 0.334 0.332
Nd 0.500 0.500 0.000
Ac 0.000 0.000 0.000

Properties
**N(E_F)**: 1.28 states/eV per cell
**Crystal system**: monoclinic

***

A plane-wave DFT calculation with GGA-PBE was carried out for AcNdN2 after structural relaxation.

Cell lengths 3.777, 3.777, 6.579 Å; angles 73.32, 73.32, 60.00 degrees
Fractional coordinates of all 4 atoms:
Ac 0.500 0.500 0.500
N 0.254 0.254 0.237
N 0.746 0.746 0.763
Nd 0.000 0.000 0.000

Properties
**N(E_F)**: 0.68 states/eV per cell
**Crystal system**: trigonal

***

A plane-wave DFT calculation with GGA-PBE was carried out for Ac2NdN after structural relaxation.

Cell lengths 3.773, 3.773, 10.634 Å; angles 79.78, 79.78, 60.00 degrees
Fractional coordinates of all 4 atoms:
Nd 0.000 0.000 0.000
N 0.500 0.500 0.500
Ac 0.118 0.118 0.645
Ac 0.882 0.882 0.355

Properties
**N(E_F)**: 3.75 states/eV per cell
**Crystal system**: trigonal

***

A plane-wave DFT calculation with GGA-PBE was carried out for Ac5NdN6 after structural relaxation.

Cell lengths 6.698, 6.707, 6.713 Å; angles 60.03, 80.46, 70.63 degrees
Fractional coordinates of all 12 atoms:
N 0.244 0.598 0.321
N 0.244 0.919 0.679
N 0.751 0.760 0.000
N 0.249 0.240 0.000
N 0.756 0.081 0.321
N 0.756 0.402 0.679
Ac 0.000 0.667 0.665
Ac 0.500 0.164 0.673
Ac 0.500 0.500 0.000
Ac 0.500 0.836 0.327
Ac 0.000 0.333 0.335
Nd 0.000 0.000 0.000

Properties
**N(E_F)**: 1.85 states/eV per cell
**Crystal system**: monoclinic

***

A plane-wave DFT calculation with GGA-PBE was carried out for Ac3NdN3 after structural relaxation.

Cell lengths 5.581, 7.637, 7.637 Å; angles 91.83, 90.00, 90.00 degrees
Fractional coordinates of all 14 atoms:
Ac 0.250 0.377 0.129
Ac 0.750 0.129 0.377
Ac 0.250 0.884 0.116
Ac 0.750 0.116 0.884
Ac 0.750 0.623 0.871
Ac 0.250 0.871 0.623
Nd 0.750 0.646 0.353
Nd 0.250 0.354 0.647
N 0.750 0.873 0.127
N 0.250 0.610 0.867
N 0.250 0.133 0.390
N 0.750 0.390 0.133
N 0.750 0.867 0.610
N 0.250 0.127 0.873

Properties
**N(E_F)**: 6.48 states/eV per cell
**Crystal system**: orthorhombic

***

A plane-wave DFT calculation with GGA-PBE was carried out for AcNdN after structural relaxation.

Cell lengths 3.755, 3.755, 6.700 Å; angles 90.00, 90.00, 120.00 degrees
Each line ends with the local moment (μB).
Fractional coordinates of all 3 atoms:
Ac 0.000 0.000 0.890  0.06
Nd 0.667 0.333 0.461  0.12
N 0.333 0.667 0.649  0.00

Properties
**N(E_F)**: 3.08 states/eV per cell
**Crystal system**: trigonal

***

A plane-wave DFT calculation with GGA-PBE was carried out for AcNdN2 after structural relaxation.

Cell lengths 3.685, 3.685, 6.498 Å; angles 90.01, 90.00, 120.00 degrees
Fractional coordinates of all 4 atoms:
Nd 0.000 0.500 0.000
Ac 0.000 0.500 0.500
N 0.667 0.833 0.761
N 0.333 0.167 0.239

Properties
**N(E_F)**: 0.40 states/eV per cell
**Crystal system**: trigonal

***

A plane-wave DFT calculation with GGA-PBE was carried out for AcNd2N after structural relaxation.

Cell lengths 3.726, 3.726, 9.804 Å; angles 79.05, 79.05, 60.00 degrees
Fractional coordinates of all 4 atoms:
N 0.000 0.000 0.000
Nd 0.715 0.715 0.855
Nd 0.285 0.285 0.145
Ac 0.500 0.500 0.500

Properties
**N(E_F)**: 3.72 states/eV per cell
**Crystal system**: trigonal

***

A plane-wave DFT calculation with GGA-PBE was carried out for Ac2NdN3 after structural relaxation.

Cell lengths 3.805, 3.805, 8.715 Å; angles 102.61, 102.61, 90.00 degrees
Fractional coordinates of all 6 atoms:
Nd 0.434 0.435 0.874
Ac 0.093 0.095 0.192
Ac 0.775 0.777 0.556
N 0.934 0.936 0.874
N 0.283 0.284 0.572
N 0.585 0.587 0.176

Properties
**N(E_F)**: 0.52 states/eV per cell
**Crystal system**: tetragonal

***

The evaluated total DFT energy (no corrections) for the records listed, in turn: -8.73, -8.33, -9.08, -9.05, -9.03, -8.63, -9.25, -7.39, -7.41, -7.10, -7.67, -7.78, -7.56, -5.69, -7.37, -6.94, -6.46, -7.28, -6.09, -7.47 eV/atom.